1.
A plane-wave DFT calculation with PBE-GGA was carried out for a relaxed structure of SrCrMo2.

Calculated values
- final energy (eV/atom) = -7.0939
- density of states at the Fermi level (states/eV per atom) = 1.023
- energy of formation from the pure elements (eV per atom) = 1.148
- mass density (g/cm3) = 7.23

Unit cell a=5.481 b=10.023 c=2.773 alpha=90.00 beta=90.00 gamma=90.00
Space group Cmmm (No. 65)
Symmetry-distinct sites (fractional):
1 Sr 0.000 0.000 0.000 x2
2 Cr 0.000 0.500 0.000 x2
3 Mo 0.250 0.250 0.500 x4


2.
A plane-wave DFT calculation with PBE-GGA was carried out for a relaxed structure of SrCuP.

Calculated values
- final energy (eV/atom) = -3.9193
- density of states at the Fermi level (states/eV per atom) = 0.377
- energy of formation from the pure elements (eV per atom) = -0.190
- mass density (g/cm3) = 4.02

Unit cell a=4.294 b=6.729 c=10.422 alpha=90.00 beta=90.00 gamma=90.00
Space group Fmm2 (No. 42)
Symmetry-distinct sites (fractional):
1 Sr 0.000 0.000 0.000 x4
2 Cu 0.000 0.000 0.276 x4
3 P 0.000 0.000 0.706 x4


3.
A plane-wave DFT calculation with PBE-GGA was carried out for a relaxed structure of NdEr8Mg2.

Calculated values
- final energy (eV/atom) = -3.8795
- density of states at the Fermi level (states/eV per atom) = 1.636
- energy of formation from the pure elements (eV per atom) = 0.162
- mass density (g/cm3) = 7.44

Unit cell a=16.766 b=6.589 c=6.345 alpha=90.00 beta=102.76 gamma=90.00
Space group C2/m (No. 12)
Symmetry-distinct sites (fractional):
1 Nd 0.000 0.000 0.000 x2
2 Er 0.080 0.500 0.908 x4
3 Er 0.097 0.256 0.453 x8
4 Er 0.226 0.000 0.180 x4
5 Mg 0.246 0.500 0.304 x4


4.
A plane-wave DFT calculation with PBE-GGA was carried out for a relaxed structure of NiHgAs.

Calculated values
- final energy (eV/atom) = -3.5496
- density of states at the Fermi level (states/eV per atom) = 0.264
- energy of formation from the pure elements (eV per atom) = 0.028
- mass density (g/cm3) = 10.12

Unit cell a=3.2184 b=3.2184 c=6.1135 alpha=90.00 beta=90.00 gamma=120.00
Space group P3m1 (No. 156)
Symmetry-distinct sites (fractional):
1 Ni 0.0000 0.0000 0.0000 x1
2 Hg 0.3333 0.6667 0.6630 x1
3 As 0.6667 0.3333 0.2335 x1


5.
A plane-wave DFT calculation with PBE-GGA was carried out for a relaxed structure of Sr3Mg7Zn4.

Calculated values
- final energy (eV/atom) = -1.6624
- density of states at the Fermi level (states/eV per atom) = 0.569
- energy of formation from the pure elements (eV per atom) = -0.141
- mass density (g/cm3) = 3.21

Unit cell a=17.559 b=4.624 c=10.657 alpha=90.00 beta=123.88 gamma=90.00
Space group C2/m (No. 12)
Symmetry-distinct sites (fractional):
1 Sr 0.000 0.000 0.000 x2
2 Sr 0.194 0.500 0.700 x4
3 Mg 0.000 0.000 0.500 x2
4 Mg 0.007 0.500 0.297 x4
5 Mg 0.160 0.000 0.424 x4
6 Mg 0.179 0.500 0.016 x4
7 Zn 0.116 0.000 0.828 x4
8 Zn 0.162 0.500 0.274 x4


6.
A plane-wave DFT calculation with PBE-GGA was carried out for a relaxed structure of PaAlPt2.

Calculated values
- final energy (eV/atom) = -7.1501
- density of states at the Fermi level (states/eV per atom) = 0.921
- energy of formation from the pure elements (eV per atom) = -0.820
- mass density (g/cm3) = 13.12

Unit cell a=6.588 b=9.247 c=5.386 alpha=90.00 beta=90.00 gamma=90.00
Space group Cmcm (No. 63)
Symmetry-distinct sites (fractional):
1 Pa 0.000 0.171 0.250 x4
2 Al 0.000 0.500 0.000 x4
3 Pt 0.206 0.105 0.750 x8


Question: density of states at the Fermi level of number 2 (SrCuP)?
Answer: 0.377 states/eV per atom


Question: energy of formation from the pure elements of number 4 (NiHgAs)?
Answer: 0.028 eV per atom